No. 1
BaCr3H PBE optimized geometry; D(E_F) = 0.838 states/eV per atom; energy above the most stable polymorph in this dataset = 1481.6 meV/atom
1.0
-2.8170 -4.9974 -2.7513
1.0011 -3.4539 5.2485
-5.6161 1.8910 2.3157
H Ba Cr
1 1 3
direct
0.5000 0.5000 0.5000 H
0.0000 0.0000 0.0000 Ba
0.0000 0.0000 0.5000 Cr
0.5000 0.0000 0.0000 Cr
0.0000 0.5000 0.0000 Cr

No. 2
TiICl PBE optimized geometry; D(E_F) = 0.633 states/eV per atom; ΔE_f (raw) = -837 meV/atom; energy above the most stable polymorph in this dataset = 238.0 meV/atom
1.0
-2.6740 -0.5046 -6.1758
-5.4223 -2.5256 0.0012
-4.9411 4.0466 -3.0150
I Cl Ti
2 2 2
direct
0.4800 0.2377 0.4676 I
0.9634 0.7548 0.9848 I
0.2117 0.0396 0.1827 Cl
0.7538 0.4569 0.7662 Cl
0.3752 0.3708 0.8509 Ti
0.9804 0.2469 0.9764 Ti